# PBE+U AgBi2WO8, relaxed
data_AgBi2WO8
_chemical_formula_sum 'Ag2 Bi4 W2 O16'
_cell_length_a 7.695
_cell_length_b 7.695
_cell_length_c 7.385
_cell_angle_alpha 112.13
_cell_angle_beta 112.13
_cell_angle_gamma 98.82
_space_group_name_H-M_alt 'P 1'
_space_group_IT_number 1
_space_group_name_Hall 'P 1'
loop_
_atom_site_label
_atom_site_fract_x
_atom_site_fract_y
_atom_site_fract_z
_atom_site_occupancy
Ag1 0.115 0.115 0.401 1
Ag2 0.885 0.885 0.599 1
Bi1 0.270 0.270 0.005 1
Bi2 0.332 0.668 0.500 1
Bi3 0.668 0.332 0.500 1
Bi4 0.730 0.730 0.995 1
W1 0.239 0.761 0.000 1
W2 0.761 0.239 0.000 1
O1 0.014 0.561 0.741 1
O2 0.057 0.821 0.139 1
O3 0.179 0.943 0.861 1
O4 0.280 0.280 0.733 1
O5 0.303 0.590 0.142 1
O6 0.344 0.344 0.343 1
O7 0.410 0.697 0.858 1
O8 0.439 0.986 0.259 1
O9 0.561 0.014 0.741 1
O10 0.590 0.303 0.142 1
O11 0.656 0.656 0.657 1
O12 0.697 0.410 0.858 1
O13 0.720 0.720 0.267 1
O14 0.821 0.057 0.139 1
O15 0.943 0.179 0.861 1
O16 0.986 0.439 0.259 1
# Calculated total energy (eV per atom): -5.833
# Calculated density (Mg/m³): 7.895
# Size of the total moment (μB/f.u.): 1.1